# 1
CaZrP | PBE | optimized geometry

Output
* DFT formation energy: -867 meV per atom
* crystal system: trigonal
* DOS(E_F): 1.741 states/eV/f.u.
* total DFT energy (no corrections): -6.187 eV/atom
* space-group type: No. 160

Cell and atoms, written as POSCAR:
```
CaZrP
1.0
-3.2950 0.6476 1.7786
1.0914 -3.5639 -0.7398
17.2674 -1.4632 32.5216
Ca Zr P
6 6 6
Cartesian
4.4309 -1.2870 12.7365 Ca
8.5644 -1.6373 20.5214 Ca
15.7823 -3.5289 30.5225 Ca
4.6414 -0.3933 8.7417 Ca
0.5080 -0.0430 0.9568 Ca
11.6489 -3.1786 22.7376 Ca
13.0096 -2.0140 28.8936 Zr
2.9601 -2.4423 6.3731 Zr
0.1724 -0.9262 4.7159 Zr
9.0867 -0.7700 17.1139 Zr
13.5169 -1.1454 25.4578 Zr
7.3903 -2.8177 14.7170 Zr
10.9694 -1.8411 25.0511 P
13.8520 -3.3653 26.8870 P
2.7112 -0.2297 5.1063 P
6.6341 -1.4737 16.8859 P
0.9199 -2.2695 2.5306 P
7.0465 -0.5971 13.2714 P
```

---

# 2
Cr2NiSe | PBE | optimized geometry

Output
* crystal system: trigonal
* DOS(E_F): 4.282 states/eV/f.u.
* total DFT energy (no corrections): -6.699 eV/atom
* formation energy without anion corrections: 0.429 eV/atom
* space-group type: No. 166

Cell and atoms, written as POSCAR:
```
Cr2NiSe
1.0
-7.0838 -1.7297 3.1551
-7.4072 -2.8025 0.6370
-6.1685 -4.2721 2.6123
Se Cr Ni
1 2 1
Cartesian
-15.4947 -6.6033 4.8033 Se
-0.0261 -0.0111 0.0081 Cr
-10.3037 -4.3911 3.1941 Cr
-5.1649 -2.2011 1.6011 Ni
```

---

# 3
LuScInOs | PBE | optimized geometry

Output
* DFT formation energy: -324 meV per atom
* crystal system: cubic
* DOS(E_F): 3.553 states/eV/f.u.
* total DFT energy (no corrections): -6.529 eV/atom
* space-group type: No. 216

Cell and atoms, written as POSCAR:
```
LuScInOs
1.0
4.8498 0.0000 0.0000
2.4249 4.2001 0.0000
2.4249 1.4000 3.9599
Os Sc Lu In
1 1 1 1
Cartesian
4.8498 2.8000 1.9799 Os
7.2747 4.2001 2.9699 Sc
2.4249 1.4000 0.9900 Lu
0.0000 0.0000 0.0000 In
```

---

# 4
Pm2YHo4Mg | PBE | optimized geometry

Output
* DFT formation energy: 30 meV per atom
* crystal system: orthorhombic
* DOS(E_F): 12.505 states/eV/f.u.
* total DFT energy (no corrections): -4.454 eV/atom
* space-group type: No. 47

Cell and atoms, written as POSCAR:
```
Pm2YHo4Mg
1.0
4.9651 0.0000 0.0000
0.0000 4.8790 0.9828
0.0000 2.8884 10.8779
Y Ho Pm Mg
1 4 2 1
Cartesian
0.0000 3.8837 5.9303 Y
2.4826 4.3803 3.4421 Ho
0.0000 5.8243 8.9132 Ho
2.4826 3.3870 8.4186 Ho
4.9651 1.9430 2.9476 Ho
0.0000 4.8790 0.9829 Pm
2.4826 1.4442 5.4389 Pm
2.4826 5.3279 11.3693 Mg
```